Crystalline TaTi2Fe at its relaxed geometry, computed with PBE.

Calculated values
DFT total energy	-8.99	eV/atom
E_form	0.041	eV/atom
volume	60.6	Å³ per cell
symmetry	Fm-3m (225)

Unit cell a=4.409 b=4.409 c=4.409 alpha=60.00 beta=60.00 gamma=60.00
Fractional coordinates of all 4 atoms:
Ta 0.000 0.000 0.000
Ti 0.250 0.250 0.250
Ti 0.750 0.750 0.750
Fe 0.500 0.500 0.500

=====

Crystalline TaTi2Fe2 at its relaxed geometry, computed with PBE.

Calculated values
DFT total energy	-8.97	eV/atom
E_form	-0.058	eV/atom
volume	144.0	Å³ per cell
symmetry	P4/mbm (127)

Unit cell a=6.922 b=6.922 c=3.006 alpha=90.00 beta=90.00 gamma=90.00
Fractional coordinates of all 10 atoms:
Ta 0.000 0.000 0.000
Ta 0.500 0.500 0.000
Ti 0.158 0.342 0.500
Ti 0.342 0.842 0.500
Ti 0.658 0.158 0.500
Ti 0.842 0.658 0.500
Fe 0.140 0.640 0.000
Fe 0.360 0.140 0.000
Fe 0.640 0.860 0.000
Fe 0.860 0.360 0.000

=====

Crystalline TaTi3Fe4 at its relaxed geometry, computed with PBE.

Calculated values
DFT total energy	-9.01	eV/atom
E_form	-0.337	eV/atom
volume	106.2	Å³ per cell
symmetry	P4/mmm (123)

Unit cell a=2.977 b=2.977 c=11.974 alpha=90.00 beta=90.00 gamma=90.00
Fractional coordinates of all 8 atoms:
Ta 0.000 0.000 0.000
Ti 0.000 0.000 0.254
Ti 0.000 0.000 0.500
Ti 0.000 0.000 0.746
Fe 0.500 0.500 0.130
Fe 0.500 0.500 0.377
Fe 0.500 0.500 0.623
Fe 0.500 0.500 0.870

=====

Crystalline TaTi4Fe at its relaxed geometry, computed with PBE.

Calculated values
DFT total energy	-8.74	eV/atom
E_form	-0.089	eV/atom
volume	95.1	Å³ per cell
symmetry	C2/m (12)

Unit cell a=5.200 b=5.200 c=5.465 alpha=120.43 beta=120.43 gamma=50.98
Fractional coordinates of all 6 atoms:
Ta 0.000 0.000 0.000
Ti 0.301 0.301 0.660
Ti 0.349 0.349 0.190
Ti 0.651 0.651 0.810
Ti 0.699 0.699 0.340
Fe 0.000 0.000 0.500

=====

Crystalline TaTi2Fe2 at its relaxed geometry, computed with PBE.

Calculated values
DFT total energy	-8.84	eV/atom
E_form	0.070	eV/atom
volume	142.9	Å³ per cell
symmetry	P4/mbm (127)

Unit cell a=7.204 b=7.204 c=2.753 alpha=90.00 beta=90.00 gamma=90.00
Fractional coordinates of all 10 atoms:
Ta 0.000 0.000 0.000
Ta 0.500 0.500 0.000
Ti 0.142 0.358 0.000
Ti 0.358 0.858 0.000
Ti 0.642 0.142 0.000
Ti 0.858 0.642 0.000
Fe 0.161 0.661 0.500
Fe 0.339 0.161 0.500
Fe 0.661 0.839 0.500
Fe 0.839 0.339 0.500

=====

Crystalline TaTi3Fe at its relaxed geometry, computed with PBE.

Calculated values
DFT total energy	-8.09	eV/atom
E_form	0.706	eV/atom
volume	191.2	Å³ per cell
symmetry	I-4m2 (119)

Unit cell a=8.729 b=8.729 c=8.729 alpha=147.52 beta=147.52 gamma=46.60
Fractional coordinates of all 10 atoms:
Ta 0.211 0.211 0.000
Ta 0.789 0.789 0.000
Ti 0.369 0.622 0.746
Ti 0.378 0.124 0.746
Ti 0.378 0.631 0.254
Ti 0.562 0.062 0.500
Ti 0.876 0.622 0.254
Ti 0.938 0.438 0.500
Fe 0.250 0.750 0.500
Fe 0.500 0.500 0.000